A plane-wave DFT calculation with GGA-PBE was carried out for CaNi3Sn3 after structural relaxation.

Cell lengths 6.9761, 6.9761, 6.9761 Å; angles 90.00, 90.00, 90.00 degrees
Closest atoms and distances in Å follow each position.
Fractional positions:
Ca (0.0000, 0.0000, 0.0000)  12 Sn 3.90, 12 Ni 3.90
Ca (0.5000, 0.5000, 0.5000)  12 Sn 3.90, 12 Ni 3.90
Ni (0.0000, 0.2500, 0.5000)  4 Sn 2.47
Ni (0.0000, 0.7500, 0.5000)  4 Sn 2.47
Ni (0.2500, 0.5000, 0.0000)  4 Sn 2.47
Ni (0.5000, 0.0000, 0.2500)  4 Sn 2.47
Ni (0.5000, 0.0000, 0.7500)  4 Sn 2.47
Ni (0.7500, 0.5000, 0.0000)  4 Sn 2.47
Sn (0.0000, 0.5000, 0.2500)  4 Ni 2.47
Sn (0.0000, 0.5000, 0.7500)  4 Ni 2.47
Sn (0.2500, 0.0000, 0.5000)  4 Ni 2.47
Sn (0.5000, 0.2500, 0.0000)  4 Ni 2.47
Sn (0.5000, 0.7500, 0.0000)  4 Ni 2.47
Sn (0.7500, 0.0000, 0.5000)  4 Ni 2.47

Properties
Distance to the lowest polymorph of the same formula, meV/atom: 230.9